No. 1
The following is a PBE-GGA calculation of an optimized crystal structure of Sc2ReHg, from the Alexandria database.

Values from the calculation:
magnetic moment = 0.0 Bohr magnetons per cell
total DFT energy (no corrections) = -48.58 eV for the cell shown

Cell: 3.532 4.733 9.585 Å, 90.00 90.00 90.00°
Atoms (fractional coordinates):
Sc  0.000  0.000  0.000
Sc  0.000  0.500  0.292
Sc  0.500  0.000  0.292
Sc  0.500  0.500  0.000
Re  0.000  0.000  0.507
Re  0.500  0.500  0.507
Hg  0.000  0.500  0.749
Hg  0.500  0.000  0.749

***

No. 2
The following is a PBE-GGA calculation of an optimized crystal structure of Cs2USe4, from the Alexandria database.

Values from the calculation:
magnetic moment = 0.2 Bohr magnetons per cell
energy above the lowest structure with this stoichiometry = 0.000 eV per formula unit

Cell: 5.476 5.476 18.184 Å, 90.00 90.00 90.00°
Atoms (fractional coordinates):
Cs  0.000  0.000  0.148
Cs  0.000  0.000  0.852
Cs  0.500  0.500  0.352
Cs  0.500  0.500  0.648
U  0.000  0.000  0.500
U  0.500  0.500  0.000
Se  0.000  0.000  0.356
Se  0.000  0.000  0.644
Se  0.000  0.500  0.000
Se  0.000  0.500  0.500
Se  0.500  0.000  0.000
Se  0.500  0.000  0.500
Se  0.500  0.500  0.144
Se  0.500  0.500  0.856

***

No. 3
The following is a PBE-GGA calculation of an optimized crystal structure of ScAsF2, from the Alexandria database.

Values from the calculation:
magnetic moment = 0.0 Bohr magnetons per cell
energy above the lowest structure with this stoichiometry = 0.358 eV per formula unit

Cell: 3.952 3.952 15.240 Å, 90.00 90.00 90.00°
Atoms (fractional coordinates):
Sc  0.000  0.000  0.000
Sc  0.000  0.500  0.250
Sc  0.500  0.000  0.750
Sc  0.500  0.500  0.500
As  0.000  0.000  0.500
As  0.000  0.500  0.750
As  0.500  0.000  0.250
As  0.500  0.500  0.000
F  0.198  0.250  0.125
F  0.250  0.698  0.375
F  0.250  0.802  0.875
F  0.302  0.250  0.625
F  0.698  0.750  0.625
F  0.750  0.198  0.875
F  0.750  0.302  0.375
F  0.802  0.750  0.125

***

No. 4
The following is a PBE-GGA calculation of an optimized crystal structure of P2IrS2, from the Alexandria database.

Values from the calculation:
magnetic moment = 0.0 Bohr magnetons per cell
energy above the lowest structure with this stoichiometry = 1.869 eV per formula unit

Cell: 4.382 4.382 4.255 Å, 90.00 90.00 90.00°
Atoms (fractional coordinates):
P  0.000  0.500  0.000
P  0.500  0.000  0.000
Ir  0.000  0.000  0.500
S  0.500  0.500  0.000
S  0.500  0.500  0.500

***

No. 5
The following is a PBE-GGA calculation of an optimized crystal structure of BaTiB2, from the Alexandria database.

Values from the calculation:
magnetic moment = 0.0 Bohr magnetons per cell
energy above the lowest structure with this stoichiometry = 1.987 eV per formula unit

Cell: 6.534 6.534 6.534 Å, 90.00 90.00 90.00°
Atoms (fractional coordinates):
Ba  0.000  0.000  0.000
Ba  0.000  0.500  0.500
Ba  0.500  0.000  0.500
Ba  0.500  0.500  0.000
Ti  0.000  0.000  0.500
Ti  0.000  0.500  0.000
Ti  0.500  0.000  0.000
Ti  0.500  0.500  0.500
B  0.250  0.250  0.250
B  0.250  0.250  0.750
B  0.250  0.750  0.250
B  0.250  0.750  0.750
B  0.750  0.250  0.250
B  0.750  0.250  0.750
B  0.750  0.750  0.250
B  0.750  0.750  0.750

***

No. 6
The following is a PBE-GGA calculation of an optimized crystal structure of Co2OsRh, from the Alexandria database.

Values from the calculation:
magnetic moment = 3.9 Bohr magnetons per cell
energy above the lowest structure with this stoichiometry = 0.032 eV per formula unit

Cell: 3.647 3.647 7.490 Å, 90.00 90.00 90.00°
Atoms (fractional coordinates):
Co  0.000  0.000  0.000
Co  0.000  0.500  0.250
Co  0.500  0.000  0.750
Co  0.500  0.500  0.500
Os  0.000  0.500  0.750
Os  0.500  0.000  0.250
Rh  0.000  0.000  0.500
Rh  0.500  0.500  0.000